(1)
Below is a geometry-optimized BIrIO2 structure, with properties calculated at the PBE-GGA level.

Values from the calculation:
symmetry	P4/mmm (123)
formation energy without anion corrections	3.6	eV/f.u.

Cell: 3.456 3.456 7.793 Å, 90.00 90.00 90.00°
Atoms (fractional coordinates):
1 I 0.000 0.000 0.500
2 B 0.000 0.000 0.000
3 Ir 0.500 0.500 0.500
4 O 0.000 0.500 0.000
5 O 0.500 0.000 0.000

(2)
Below is a geometry-optimized BIrI2O structure, with properties calculated at the PBE-GGA level.

Values from the calculation:
symmetry	P4/mmm (123)
formation energy without anion corrections	2.6	eV/f.u.

Cell: 5.386 5.386 2.928 Å, 90.00 90.00 90.00°
Atoms (fractional coordinates):
1 I 0.000 0.500 0.000
2 I 0.500 0.000 0.000
3 B 0.000 0.000 0.000
4 Ir 0.500 0.500 0.500
5 O 0.000 0.000 0.500

| no. | ΔE to the lowest computed polymorph (eV/f.u.) |
| --- | --- |
| 1 | 1.50 |
| 2 | 0.00 |